# 1
A relaxed structure of CuPBr2. Source: Alexandria, functional PBE-GGA.

Computed properties:
Space group   P4mm, No. 99
Raw formation energy   -0.021 eV per atom
Energy above the lowest structure with this stoichiometry   123.6 meV per atom

a b c (Å): 3.339 3.339 8.520
angles (deg): 90.00 90.00 90.00
Fractional positions:
Cu1 0.000 0.000 0.000
P1 0.500 0.500 0.918
Br1 0.000 0.000 0.277
Br2 0.500 0.500 0.659



# 2
A relaxed structure of SrCoSe2. Source: Alexandria, functional PBE-GGA.

Computed properties:
Space group   P4/mmm, No. 123
Raw formation energy   -0.406 eV per atom
Energy above the lowest structure with this stoichiometry   520.1 meV per atom

a b c (Å): 4.957 4.957 3.636
angles (deg): 90.00 90.00 90.00
Fractional positions:
Sr1 0.000 0.000 0.000
Co1 0.500 0.500 0.000
Se1 0.000 0.500 0.500
Se2 0.500 0.000 0.500



# 3
A relaxed structure of Tb3Pr6Sm2Sc. Source: Alexandria, functional PBE-GGA.

Computed properties:
Energy of formation from the pure elements   0.024 eV per atom
Space group   C2/m, No. 12

a b c (Å): 6.302 6.302 11.906
angles (deg): 95.06 95.06 120.01
Fractional positions:
Tb1 0.000 0.000 0.000
Tb2 0.333 0.667 0.000
Tb3 0.667 0.333 0.000
Pr1 0.088 0.418 0.251
Pr2 0.252 0.252 0.749
Pr3 0.418 0.088 0.251
Pr4 0.582 0.912 0.749
Pr5 0.748 0.748 0.251
Pr6 0.912 0.582 0.749
Sm1 0.167 0.833 0.500
Sm2 0.833 0.167 0.500
Sc1 0.500 0.500 0.500



# 4
A relaxed structure of KSc2Fe. Source: Alexandria, functional PBE-GGA.

Computed properties:
Energy of formation from the pure elements   0.986 eV per atom
Space group   F-43m, No. 216
Energy above the lowest structure with this stoichiometry   840.7 meV per atom

a b c (Å): 7.346 7.346 7.346
angles (deg): 90.00 90.00 90.00
Fractional positions:
K1 0.000 0.000 0.000
K2 0.000 0.500 0.500
K3 0.500 0.000 0.500
K4 0.500 0.500 0.000
Sc1 0.000 0.000 0.500
Sc2 0.000 0.500 0.000
Sc3 0.250 0.250 0.250
Sc4 0.250 0.750 0.750
Sc5 0.500 0.000 0.000
Sc6 0.500 0.500 0.500
Sc7 0.750 0.250 0.750
Sc8 0.750 0.750 0.250
Fe1 0.250 0.250 0.750
Fe2 0.250 0.750 0.250
Fe3 0.750 0.250 0.250
Fe4 0.750 0.750 0.750